# 1
Material: RbTi2BeOs
Method: DFT, PBE
State: optimized geometry

a b c (Å): 4.575 4.575 4.728
angles (deg): 90.00 90.00 90.00
Fractional coordinates of all 5 atoms:
Rb  0.000  0.000  0.000
Ti  0.000  0.500  0.000
Ti  0.500  0.000  0.000
Be  0.500  0.500  0.500
Os  0.000  0.000  0.500

Values from the calculation:
volume = 99 Å³/cell
energy of formation from the pure elements = 2.753 eV per atom
magnetic moment = 0.0 μB per cell
symmetry = P4/mmm (123)


# 2
Material: NaPrMg2
Method: DFT, PBE
State: optimized geometry

a b c (Å): 3.821 3.821 8.139
angles (deg): 90.00 90.00 90.00
Fractional coordinates of all 4 atoms:
Na  0.000  0.000  0.000
Pr  0.000  0.000  0.500
Mg  0.500  0.500  0.248
Mg  0.500  0.500  0.752

Values from the calculation:
energy above the most stable polymorph in this dataset = 0.0 meV per atom
volume = 119 Å³/cell
energy of formation from the pure elements = 0.040 eV per atom
magnetic moment = 0.5 μB per cell
symmetry = P4/mmm (123)


# 3
Material: Al2MoRu
Method: DFT, PBE
State: optimized geometry

a b c (Å): 2.976 2.976 6.517
angles (deg): 90.00 90.00 90.00
Fractional coordinates of all 4 atoms:
Al  0.000  0.000  0.219
Al  0.000  0.000  0.781
Mo  0.500  0.500  0.500
Ru  0.500  0.500  0.000

Values from the calculation:
energy above the most stable polymorph in this dataset = 0.0 meV per atom
volume = 58 Å³/cell
energy of formation from the pure elements = -0.382 eV per atom
magnetic moment = 0.0 μB per cell
symmetry = P4/mmm (123)